Record 1
# Pa3BSe2 | Alexandria via LeMat-Bulk | PBE | optimized geometry
# spin magnetization	0.00	μB/cell
# formation energy without anion corrections	-924	meV per atom
data_Pa3BSe2
_chemical_formula_sum 'Pa12 B4 Se8'
_cell_length_a 6.8058
_cell_length_b 11.7730
_cell_length_c 7.0076
_cell_angle_alpha 90.00
_cell_angle_beta 108.91
_cell_angle_gamma 90.00
_symmetry_space_group_name_H-M 'C 1 2/m 1'
_symmetry_Int_Tables_number 12
loop_
_symmetry_equiv_pos_as_xyz
'x,y,z'
'-x,-y,-z'
'-x,y,-z'
'x,-y,z'
'x+1/2,y+1/2,z'
'-x+1/2,-y+1/2,-z'
'-x+1/2,y+1/2,-z'
'x+1/2,-y+1/2,z'
loop_
_atom_site_label
_atom_site_fract_x
_atom_site_fract_y
_atom_site_fract_z
_atom_site_occupancy
Pa1 0.2152 0.0000 0.2162 1
Pa2 0.2475 0.1785 0.7784 1
B1 0.0000 0.1680 0.0000 1
Se1 0.0000 0.0000 0.5000 1
Se2 0.0000 0.3427 0.5000 1
Se3 0.0000 0.5000 0.0000 1

---

Record 2
# ErAlNi | Alexandria via LeMat-Bulk | PBE | optimized geometry
# spin magnetization	0.00	μB/cell
# final energy	-5.233	eV/atom
data_ErAlNi
_chemical_formula_sum 'Er8 Al8 Ni8'
_cell_length_a 8.4197
_cell_length_b 5.3585
_cell_length_c 9.1940
_cell_angle_alpha 90.00
_cell_angle_beta 90.00
_cell_angle_gamma 90.00
_symmetry_space_group_name_H-M 'A m m 2'
_symmetry_Int_Tables_number 38
loop_
_symmetry_equiv_pos_as_xyz
'x,y,z'
'-x,-y,z'
'-x,y,z'
'x,-y,z'
'x,y+1/2,z+1/2'
'-x,-y+1/2,z+1/2'
'-x,y+1/2,z+1/2'
'x,-y+1/2,z+1/2'
loop_
_atom_site_label
_atom_site_fract_x
_atom_site_fract_y
_atom_site_fract_z
_atom_site_occupancy
Er1 0.1765 0.0000 0.0000 1
Er2 0.2945 0.0000 0.3368 1
Al1 0.2385 0.0000 0.6744 1
Al2 0.5000 0.2452 0.0832 1
Ni1 0.0000 0.0000 0.5047 1
Ni2 0.0000 0.2463 0.2550 1
Ni3 0.5000 0.0000 0.8374 1

---

Record 3
# TlSn3 | Alexandria via LeMat-Bulk | PBE | optimized geometry
# E above lowest polymorph	0.82	kcal/mol of atoms
# spin magnetization	0.00	μB/cell
data_TlSn3
_chemical_formula_sum 'Tl2 Sn6'
_cell_length_a 4.7683
_cell_length_b 4.7683
_cell_length_c 10.0114
_cell_angle_alpha 90.00
_cell_angle_beta 90.00
_cell_angle_gamma 90.00
_symmetry_space_group_name_H-M 'I 4/m m m'
_symmetry_Int_Tables_number 139
_symmetry_space_group_name_Hall '-I 4 2'
loop_
_atom_site_label
_atom_site_fract_x
_atom_site_fract_y
_atom_site_fract_z
_atom_site_occupancy
Tl1 0.0000 0.0000 0.0000 1
Sn1 0.0000 0.0000 0.5000 1
Sn2 0.0000 0.5000 0.2500 1

---

Record 4
# Tb7CeY4 | Alexandria via LeMat-Bulk | PBE | optimized geometry
# spin magnetization	3.07	μB/cell
# final energy	-5.107	eV/atom
data_Tb7CeY4
_chemical_formula_sum 'Tb14 Ce2 Y8'
_cell_length_a 16.5673
_cell_length_b 5.8519
_cell_length_c 9.4940
_cell_angle_alpha 90.00
_cell_angle_beta 121.79
_cell_angle_gamma 90.00
_symmetry_space_group_name_H-M 'C 1 2/m 1'
_symmetry_Int_Tables_number 12
loop_
_symmetry_equiv_pos_as_xyz
'x,y,z'
'-x,-y,-z'
'-x,y,-z'
'x,-y,z'
'x+1/2,y+1/2,z'
'-x+1/2,-y+1/2,-z'
'-x+1/2,y+1/2,-z'
'x+1/2,-y+1/2,z'
loop_
_atom_site_label
_atom_site_fract_x
_atom_site_fract_y
_atom_site_fract_z
_atom_site_occupancy
Tb1 0.0000 0.0000 0.0000 1
Tb2 0.0606 0.5000 0.7161 1
Tb3 0.1684 0.5000 0.3357 1
Tb4 0.2045 0.0000 0.8813 1
Ce1 0.0000 0.5000 0.0000 1
Y1 0.0870 0.0000 0.4464 1
Y2 0.2398 0.0000 0.2699 1

---

Record 5
# TbSm2HoTm6 | Alexandria via LeMat-Bulk | PBE | optimized geometry
# spin magnetization	0.00	μB/cell
# final energy	-4.428	eV/atom
data_TbSm2HoTm6
_chemical_formula_sum 'Tb4 Sm8 Ho4 Tm24'
_cell_length_a 8.9338
_cell_length_b 14.8986
_cell_length_c 9.5542
_cell_angle_alpha 90.00
_cell_angle_beta 98.70
_cell_angle_gamma 90.00
_symmetry_space_group_name_H-M 'C 1 2/c 1'
_symmetry_Int_Tables_number 15
loop_
_symmetry_equiv_pos_as_xyz
'x,y,z'
'-x,-y,-z'
'-x,y,-z+1/2'
'x,-y,z+1/2'
'x+1/2,y+1/2,z'
'-x+1/2,-y+1/2,-z'
'-x+1/2,y+1/2,-z+1/2'
'x+1/2,-y+1/2,z+1/2'
loop_
_atom_site_label
_atom_site_fract_x
_atom_site_fract_y
_atom_site_fract_z
_atom_site_occupancy
Tb1 0.0000 0.0197 0.2500 1
Sm1 0.2464 0.0522 0.5433 1
Ho1 0.0000 0.4073 0.7500 1
Tm1 0.0647 0.1902 0.9426 1
Tm2 0.1023 0.3938 0.1191 1
Tm3 0.2017 0.2241 0.3143 1

---

Record 6
# TaBe2Al | Alexandria via LeMat-Bulk | PBE | optimized geometry
# spin magnetization	0.00	μB/cell
# final energy	-5.646	eV/atom
data_TaBe2Al
_chemical_formula_sum 'Ta2 Be4 Al2'
_cell_length_a 3.7833
_cell_length_b 3.7833
_cell_length_c 7.1508
_cell_angle_alpha 90.00
_cell_angle_beta 90.00
_cell_angle_gamma 90.00
_symmetry_space_group_name_H-M 'I 4/m m m'
_symmetry_Int_Tables_number 139
_symmetry_space_group_name_Hall '-I 4 2'
loop_
_atom_site_label
_atom_site_fract_x
_atom_site_fract_y
_atom_site_fract_z
_atom_site_occupancy
Ta1 0.0000 0.0000 0.0000 1
Be1 0.0000 0.5000 0.2500 1
Al1 0.0000 0.0000 0.5000 1

---

Record 7
# InNiRh2 | Alexandria via LeMat-Bulk | PBE | optimized geometry
# spin magnetization	2.36	μB/cell
# final energy	-5.908	eV/atom
data_InNiRh2
_chemical_formula_sum 'In2 Ni2 Rh4'
_cell_length_a 3.9354
_cell_length_b 3.9354
_cell_length_c 7.7185
_cell_angle_alpha 90.00
_cell_angle_beta 90.00
_cell_angle_gamma 90.00
_symmetry_space_group_name_H-M 'I -4 m 2'
_symmetry_Int_Tables_number 119
_symmetry_space_group_name_Hall 'I -4 -2'
loop_
_atom_site_label
_atom_site_fract_x
_atom_site_fract_y
_atom_site_fract_z
_atom_site_occupancy
In1 0.0000 0.0000 0.0000 1
Ni1 0.0000 0.5000 0.2500 1
Rh1 0.0000 0.0000 0.5000 1
Rh2 0.0000 0.5000 0.7500 1

---

Record 8
# ThScAlAg | Alexandria via LeMat-Bulk | PBE | optimized geometry
# spin magnetization	0.00	μB/cell
# final energy	-5.279	eV/atom
data_ThScAlAg
_chemical_formula_sum 'Th4 Sc4 Al4 Ag4'
_cell_length_a 7.2260
_cell_length_b 7.2260
_cell_length_c 7.2260
_cell_angle_alpha 90.00
_cell_angle_beta 90.00
_cell_angle_gamma 90.00
_symmetry_space_group_name_H-M 'F -4 3 m'
_symmetry_Int_Tables_number 216
_symmetry_space_group_name_Hall 'F -4 2 3'
loop_
_atom_site_label
_atom_site_fract_x
_atom_site_fract_y
_atom_site_fract_z
_atom_site_occupancy
Th1 0.0000 0.0000 0.0000 1
Sc1 0.0000 0.0000 0.5000 1
Al1 0.2500 0.2500 0.7500 1
Ag1 0.2500 0.2500 0.2500 1

---

Question: Which of these has the highest spin magnetization?
Answer: Tb7CeY4

---

Question: Number 2 is which compound?
Answer: ErAlNi

---

Question: Which of these has the highest spin magnetization?
Answer: Tb7CeY4